A geometry-optimized InRh4Se structure, computed with PBE-GGA.

**Formation energy (no corrections)**: 0.28 eV/atom

abc: 7.3939 7.3939 7.3939
angles: 90.00 90.00 90.00
Space group F-43m (No. 216)
Symmetry-distinct sites (fractional):
In: 0.0000 0.0000 0.0000 [4 per cell]
Rh: 0.1242 0.1242 0.6242 [16 per cell]
Se: 0.2500 0.2500 0.2500 [4 per cell]